Density functional theory data (GGA-PBE) for crystalline HfTiPb2 at its relaxed geometry.

Unit cell a=7.857 b=7.857 c=6.380 alpha=51.99 beta=51.99 gamma=90.00
Sites, in units of the cell vectors:
Ti 0.500 0.500 0.000
Pb 0.137 0.625 0.250
Hf 0.000 0.000 0.000
Ti 0.250 0.750 0.500
Pb 0.875 0.863 0.750
Pb 0.613 0.125 0.250
Hf 0.750 0.250 0.500
Pb 0.375 0.387 0.750

Output
* excess energy over the best structure of this formula in the dataset: 0.1466 eV per atom
* ΔH_f (0 K): 280 meV/atom
* magnetic moment: 0.000 μB per cell

***

Density functional theory data (GGA-PBE) for crystalline Mg2ZnSi at its relaxed geometry.

Unit cell a=3.929 b=3.037 c=6.660 alpha=63.18 beta=90.00 gamma=90.00
Sites, in units of the cell vectors:
Zn 0.500 0.750 0.750
Mg 0.000 0.996 0.003
Mg 0.000 0.504 0.497
Si 0.500 0.250 0.250

Output
* E_form (uncorrected): 0.0154 eV per atom
* magnetic moment: 0.000 μB per cell

***

Density functional theory data (GGA-PBE) for crystalline K2Rb8S at its relaxed geometry.

Unit cell a=9.428 b=12.314 c=9.087 alpha=74.94 beta=121.25 gamma=90.00
Sites, in units of the cell vectors:
Rb 0.811 0.804 0.104
K 0.150 0.409 0.300
Rb 0.293 0.804 0.104
K 0.850 0.591 0.700
Rb 0.795 0.987 0.591
Rb 0.189 0.196 0.896
Rb 0.707 0.196 0.896
Rb 0.647 0.393 0.295
Rb 0.205 0.013 0.409
S 0.000 0.000 0.000
Rb 0.353 0.607 0.705

Output
* E_form (uncorrected): -0.2420 eV per atom
* magnetic moment: 0.000 μB per cell

***

Density functional theory data (GGA-PBE) for crystalline ScNb2CuBi at its relaxed geometry.

Unit cell a=4.749 b=4.870 c=4.749 alpha=90.00 beta=90.00 gamma=90.00
Sites, in units of the cell vectors:
Bi 0.500 0.500 0.500
Cu 0.000 0.000 0.000
Nb 0.500 0.000 0.000
Nb 0.000 0.000 0.500
Sc 0.000 0.500 0.000

Output
* ΔH_f (0 K): 547 meV/atom
* magnetic moment: 0.000 μB per cell

***

Density functional theory data (GGA-PBE) for crystalline AlAs2Pb at its relaxed geometry.

Unit cell a=3.461 b=3.461 c=7.243 alpha=90.00 beta=90.00 gamma=90.00
Sites, in units of the cell vectors:
Pb 0.500 0.500 0.250
As 0.000 0.000 0.563
As 0.000 0.000 0.937
Al 0.500 0.500 0.750

Output
* excess energy over the best structure of this formula in the dataset: 0.2269 eV per atom
* ΔH_f (0 K): 110 meV/atom
* magnetic moment: 0.000 μB per cell

***

Density functional theory data (GGA-PBE) for crystalline MnGa3Ni6 at its relaxed geometry.

Unit cell a=4.198 b=6.854 c=9.057 alpha=112.49 beta=90.00 gamma=90.00
Last column: magnetic moment on the atom in μB.
Sites, in units of the cell vectors:
Ni 0.250 0.261 0.482  0.26
Ni 0.250 0.661 0.679  0.15
Ni 0.750 0.141 0.720  0.27
Ni 0.250 0.065 0.876  0.15
Ni 0.750 0.935 0.124  0.15
Ga 0.750 0.453 0.623  -0.02
Ga 0.250 0.355 0.782  -0.01
Ni 0.750 0.539 0.924  0.03
Ni 0.750 0.739 0.518  0.26
Mn 0.750 0.045 0.418  3.40
Ni 0.750 0.339 0.321  0.15
Ni 0.250 0.159 0.182  0.13
Ga 0.250 0.779 0.979  -0.01
Ga 0.750 0.221 0.021  -0.01
Ga 0.250 0.547 0.377  -0.02
Ni 0.250 0.461 0.076  0.03
Ni 0.750 0.841 0.818  0.13
Ni 0.250 0.859 0.280  0.27
Mn 0.250 0.955 0.582  3.40
Ga 0.750 0.645 0.218  -0.01

Output
* ΔH_f (0 K): -264 meV/atom
* magnetic moment: 8.806 μB per cell

***

Density functional theory data (GGA-PBE) for crystalline ZrTc3W at its relaxed geometry.

Unit cell a=4.672 b=4.672 c=4.672 alpha=90.00 beta=90.00 gamma=90.00
Sites, in units of the cell vectors:
W 0.000 0.000 0.000
Tc 0.000 0.500 0.000
Tc 0.000 0.000 0.500
Tc 0.500 0.000 0.000
Zr 0.500 0.500 0.500

Output
* excess energy over the best structure of this formula in the dataset: 0.0000 eV per atom
* ΔH_f (0 K): 1172 meV/atom
* magnetic moment: 0.000 μB per cell

***

Density functional theory data (GGA-PBE) for crystalline CrRu2W at its relaxed geometry.

Unit cell a=3.122 b=3.122 c=5.921 alpha=90.00 beta=90.00 gamma=90.00
Last column: magnetic moment on the atom in μB.
Sites, in units of the cell vectors:
Ru 0.000 0.000 0.990  0.20
W 0.500 0.500 0.250  0.12
Ru 0.000 0.000 0.510  0.20
Cr 0.500 0.500 0.750  2.51

Output
* excess energy over the best structure of this formula in the dataset: 0.1066 eV per atom
* ΔH_f (0 K): 187 meV/atom
* magnetic moment: 3.199 μB per cell